Record 1
# GGA-PBE HfTa3B4, relaxed
# V in Å³/cell: 203.5
# Crystal system: orthorhombic
# Magnetization in μB/f.u.: 0.0
# Total DFT energy (no corrections) in eV/atom: -9.413
# Energy of formation from the pure elements in kJ per mole of atoms: -37.1
data_HfTa3B4
_chemical_formula_sum 'Hf2 Ta6 B8'
_symmetry_space_group_name_H-M 'I m m m'
_symmetry_Int_Tables_number 71
_symmetry_space_group_name_Hall '-I 2 2'
_cell_length_a 3.217
_cell_length_b 4.907
_cell_length_c 12.890
_cell_angle_alpha 90.00
_cell_angle_beta 90.00
_cell_angle_gamma 90.00
loop_
_atom_site_label
_atom_site_type_symbol
_atom_site_fract_x
_atom_site_fract_y
_atom_site_fract_z
Hf1 Hf 0.000 0.000 0.000
Ta1 Ta 0.000 0.000 0.500
Ta2 Ta 0.000 0.500 0.302
B1 B 0.000 0.326 0.136

***

Record 2
# GGA-PBE Te3C, relaxed
# V in Å³/cell: 94.5
# Relative energy among the computed polymorphs in eV per formula unit: 2.14
# Crystal system: tetragonal
# Magnetization in μB/f.u.: 0.0
# Total DFT energy (no corrections) in eV/atom: -3.322
# Formation energy (no corrections) in eV/atom: 1.34
data_Te3C
_chemical_formula_sum 'Te3 C1'
_symmetry_space_group_name_H-M 'P 4/m m m'
_symmetry_Int_Tables_number 123
_symmetry_space_group_name_Hall '-P 4 2'
_cell_length_a 3.323
_cell_length_b 3.323
_cell_length_c 8.560
_cell_angle_alpha 90.00
_cell_angle_beta 90.00
_cell_angle_gamma 90.00
loop_
_atom_site_label
_atom_site_type_symbol
_atom_site_fract_x
_atom_site_fract_y
_atom_site_fract_z
Te1 Te 0.000 0.000 0.000
Te2 Te 0.500 0.500 0.339
C1 C 0.000 0.000 0.500

***

Record 3
# GGA-PBE La2ZrSn, relaxed
# V in Å³/cell: 112.9
# Crystal system: tetragonal
# Magnetization in μB/f.u.: 0.0
# Total DFT energy (no corrections) in eV/atom: -5.919
# Energy of formation from the pure elements in kJ per mole of atoms: -30.6
data_La2ZrSn
_chemical_formula_sum 'La2 Zr1 Sn1'
_symmetry_space_group_name_H-M 'P 4/m m m'
_symmetry_Int_Tables_number 123
_symmetry_space_group_name_Hall '-P 4 2'
_cell_length_a 4.783
_cell_length_b 4.783
_cell_length_c 4.936
_cell_angle_alpha 90.00
_cell_angle_beta 90.00
_cell_angle_gamma 90.00
loop_
_atom_site_label
_atom_site_type_symbol
_atom_site_fract_x
_atom_site_fract_y
_atom_site_fract_z
La1 La 0.000 0.500 0.000
Zr1 Zr 0.000 0.000 0.500
Sn1 Sn 0.500 0.500 0.500

***

Record 4
# GGA-PBE LiPuPdRh, relaxed
# V in Å³/cell: 68.8
# Relative energy among the computed polymorphs in eV per formula unit: 0.00
# Crystal system: tetragonal
# Magnetization in μB/f.u.: 4.7
# Total DFT energy (no corrections) in eV/atom: -7.567
# Energy of formation from the pure elements in kJ per mole of atoms: -35.7
data_LiPuPdRh
_chemical_formula_sum 'Li1 Pu1 Pd1 Rh1'
_symmetry_space_group_name_H-M 'P 4 m m'
_symmetry_Int_Tables_number 99
_symmetry_space_group_name_Hall 'P 4 -2'
_cell_length_a 3.322
_cell_length_b 3.322
_cell_length_c 6.240
_cell_angle_alpha 90.00
_cell_angle_beta 90.00
_cell_angle_gamma 90.00
loop_
_atom_site_label
_atom_site_type_symbol
_atom_site_fract_x
_atom_site_fract_y
_atom_site_fract_z
Li1 Li 0.000 0.000 0.000
Pu1 Pu 0.000 0.000 0.489
Pd1 Pd 0.500 0.500 0.787
Rh1 Rh 0.500 0.500 0.236